A relaxed structure of Mn2MoO4, computed with PBE with a Hubbard U.

Its final energy is -7.662 eV/atom.

a = 6.322 Å, b = 6.322 Å, c = 9.072 Å
α = 90.00°, β = 90.00°, γ = 90.00°
Fractional coordinates of all 28 atoms:
Mn 0.500 0.743 0.500
O 0.766 0.523 0.494
O 0.020 0.766 0.736
Mn 0.249 0.249 0.375
O 0.766 0.020 0.014
O 0.523 0.766 0.256
Mn 0.751 0.751 0.875
Mo 0.000 0.746 0.500
O 0.523 0.234 0.244
Mn 0.500 0.257 0.000
O 0.234 0.020 0.986
O 0.766 0.980 0.486
Mn 0.743 0.500 0.250
O 0.477 0.234 0.756
O 0.234 0.523 0.506
O 0.234 0.980 0.514
O 0.766 0.477 0.006
O 0.020 0.234 0.764
O 0.980 0.766 0.264
Mo 0.254 0.000 0.750
Mn 0.249 0.751 0.125
Mo 0.746 0.000 0.250
O 0.234 0.477 0.994
Mn 0.257 0.500 0.750
O 0.980 0.234 0.236
Mo 0.000 0.254 0.000
O 0.477 0.766 0.744
Mn 0.751 0.249 0.625



A relaxed structure of Mn3MoO, computed with PBE with a Hubbard U.

For the density of states at the Fermi level, the calculation gives 2.6 states/eV per cell. Its final energy is -6.816 eV/atom.

a = 4.380 Å, b = 4.380 Å, c = 4.380 Å
α = 90.00°, β = 90.00°, γ = 90.00°
Fractional coordinates of all 5 atoms:
Mn 0.500 0.000 0.000
Mn 0.000 0.000 0.500
Mn 0.000 0.500 0.000
Mo 0.500 0.500 0.500
O 0.000 0.000 0.000